A plane-wave DFT calculation with PBE-GGA was carried out for an optimized crystal structure of Dy6Tm3Cd.

## Properties
Its total magnetization is 0.00 μB per formula unit. For the excess energy over the best structure of this formula in the dataset, the calculation gives 0 meV per atom. As for the total energy: -42.11 eV/f.u. The formation energy from the elements comes out at -0.17 eV/f.u.

Unit cell a=10.915 b=4.960 c=11.086 alpha=90.00 beta=91.18 gamma=90.00
Atoms (fractional coordinates):
Dy: 0.047 0.250 0.397
Dy: 0.141 0.750 0.187
Dy: 0.153 0.250 0.693
Dy: 0.239 0.250 0.996
Dy: 0.348 0.750 0.799
Dy: 0.449 0.250 0.602
Dy: 0.551 0.750 0.398
Dy: 0.652 0.250 0.201
Dy: 0.761 0.750 0.004
Dy: 0.847 0.750 0.307
Dy: 0.859 0.250 0.813
Dy: 0.953 0.750 0.603
Tm: 0.248 0.750 0.494
Tm: 0.347 0.250 0.294
Tm: 0.449 0.750 0.099
Tm: 0.551 0.250 0.901
Tm: 0.653 0.750 0.706
Tm: 0.752 0.250 0.506
Cd: 0.051 0.750 0.896
Cd: 0.949 0.250 0.104